Record 1
Below is Sr4BeP after structural relaxation, with properties calculated at the PBE level.

Cell: 9.6560 9.6560 9.6560 Å, 90.00 90.00 90.00°
Space group F-43m (No. 216)
Symmetry-distinct sites (fractional):
Sr  0.1243  0.1243  0.3757 x16
Be  0.0000  0.0000  0.0000 x4
P  0.2500  0.2500  0.7500 x4

Results
Spin magnetization   0.02 μB per cell
Energy relative to the elements   0.90 eV per atom
Volume   900.3 Å³/cell

***

Record 2
Below is SrBeP2 after structural relaxation, with properties calculated at the PBE level.

Cell: 3.8380 6.8962 6.5832 Å, 90.00 90.00 90.00°
Space group Cmmm (No. 65)
Symmetry-distinct sites (fractional):
Sr  0.0000  0.0000  0.0000 x2
Be  0.0000  0.0000  0.5000 x2
P  0.0000  0.5000  0.3276 x4

Results
Spin magnetization   0.00 μB per cell
Energy relative to the elements   -0.17 eV per atom
Volume   174.2 Å³/cell